No. 1
This record from the Alexandria database describes a relaxed structure of Ta2ZnPt2. The functional is PBE.

## Properties
Calculated total energy in eV per atom: -7.660
SG: No. 127
Size of the total moment in μB/f.u.: 0.00
Mass density in g/cm³: 15.23

a b c (Å): 7.9077 7.9077 2.8504
angles (deg): 90.00 90.00 90.00
Fractional positions:
Ta 0.1673 0.3327 0.0000
Ta 0.3327 0.8327 0.0000
Ta 0.6673 0.1673 0.0000
Ta 0.8327 0.6673 0.0000
Zn 0.0000 0.0000 0.0000
Zn 0.5000 0.5000 0.0000
Pt 0.1280 0.6280 0.5000
Pt 0.3720 0.1280 0.5000
Pt 0.6280 0.8720 0.5000
Pt 0.8720 0.3720 0.5000


No. 2
This record from the Alexandria database describes a relaxed structure of CuSb2Pt. The functional is PBE.

## Properties
Formation energy from raw total energies in eV/atom: -0.061
SG: No. 10
Size of the total moment in μB/f.u.: 0.00
Mass density in g/cm³: 10.00

a b c (Å): 3.9126 3.8800 5.4918
angles (deg): 90.00 90.34 90.00
Fractional positions:
Cu 0.0000 0.0000 0.0000
Sb 0.0000 0.0000 0.5000
Sb 0.5000 0.5000 0.0000
Pt 0.5000 0.5000 0.5000